# 1
20
Lattice="-5.292 7.702 4.244 5.292 -7.702 4.244 5.292 7.702 -4.244" Properties=species:S:1:pos:R:3 comment="Na3Sn5Bi2, optimized geometry, DFT PBE-GGA" volume_a3_per_cell=691.9 delta_e_f_ev_per_atom=-0.042 crystal_system=orthorhombic pbc="T T T"
Na 7.888 2.297 0.000
Na 0.000 0.000 2.122
Na 2.596 5.405 0.000
Na 2.696 2.297 4.244
Na 0.000 0.000 6.366
Na -2.596 5.405 4.244
Sn 5.292 -3.287 2.122
Sn 3.731 1.565 0.000
Sn 5.292 0.000 2.122
Sn 3.731 -1.565 4.244
Sn 5.292 3.287 2.122
Sn 0.000 4.414 2.122
Sn 1.561 9.266 0.000
Sn 0.000 7.702 2.122
Sn 1.561 6.137 4.244
Sn 0.000 10.989 2.122
Bi 0.805 2.357 0.000
Bi 6.097 5.344 0.000
Bi -0.805 2.357 4.244
Bi 4.488 5.344 4.244

# 2
5
Lattice="5.853 0.000 0.000 0.000 5.853 0.000 0.000 0.000 5.853" Properties=species:S:1:pos:R:3 comment="Na3SnBi, optimized geometry, DFT PBE-GGA" volume_a3_per_cell=200.5 delta_e_f_ev_per_atom=0.207 crystal_system=cubic pbc="T T T"
Na 0.000 0.000 2.926
Na 0.000 2.926 0.000
Na 2.926 0.000 0.000
Sn 2.926 2.926 2.926
Bi 0.000 0.000 0.000